This record from the Alexandria database describes an optimized crystal structure of Al2ZnBi. The functional is PBE.

Values from the calculation:
The calculation puts the formation energy at 0.3016 eV per atom. The calculated volume comes out at 22.2 A^3/atom. As for the distance to the lowest polymorph of the same formula: 60 meV per atom.

a b c (Å): 5.006 5.006 5.006
angles (deg): 60.00 60.00 60.00
Sites, in units of the cell vectors:
Zn (0.000, 0.000, 0.000)
Al (0.750, 0.750, 0.750)
Al (0.250, 0.250, 0.250)
Bi (0.500, 0.500, 0.500)